No. 1
## CsTl2InBr6 (PBE)

Data for a relaxed structure of CsTl2InBr6.

Values from the calculation:
ΔE_f (raw): -1.029 eV/atom
DOS at the Fermi energy: 0.0000 states/eV/atom
spin magnetization: 0.0 Bohr magnetons per cell

```
data_CsTl2InBr6
_chemical_formula_sum 'Cs1 Tl2 In1 Br6'
_cell_length_a 8.2492
_cell_length_b 8.2566
_cell_length_c 8.5812
_cell_angle_alpha 118.76
_cell_angle_beta 90.00
_cell_angle_gamma 119.96
_space_group_name_H-M_alt 'P 1'
_space_group_IT_number 1
loop_
_space_group_symop_operation_xyz
'x,y,z'
loop_
_atom_site_label
_atom_site_type_symbol
_atom_site_fract_x
_atom_site_fract_y
_atom_site_fract_z
Cs1 Cs 0.0000 0.0000 0.0000
Tl1 Tl 0.1997 0.3994 0.5976
Tl2 Tl 0.7156 0.4317 0.1467
In1 In 0.5155 0.0314 0.5466
Br1 Br 0.1785 0.6096 0.3377
Br2 Br 0.3418 0.2088 0.7862
Br3 Br 0.4314 0.1604 0.3380
Br4 Br 0.5777 0.9207 0.7868
Br5 Br 0.7299 0.9079 0.3388
Br6 Br 0.8663 0.4443 0.7866
```

No. 2
## HgB2Pd2 (PBE)

Data for a relaxed structure of HgB2Pd2.

Values from the calculation:
formation enthalpy at 0 K: 0.086 eV/atom
energy relative to the lowest polymorph listed for this composition: 0 meV/atom
DOS at the Fermi energy: 0.2732 states/eV/atom
spin magnetization: 0.0 Bohr magnetons per cell

```
data_HgB2Pd2
_chemical_formula_sum 'Hg2 B4 Pd4'
_cell_length_a 2.9842
_cell_length_b 2.9842
_cell_length_c 14.9895
_cell_angle_alpha 90.00
_cell_angle_beta 90.00
_cell_angle_gamma 90.00
_space_group_name_H-M_alt 'I 4/m m m'
_space_group_IT_number 139
_space_group_name_Hall '-I 4 2'
loop_
_atom_site_label
_atom_site_type_symbol
_atom_site_fract_x
_atom_site_fract_y
_atom_site_fract_z
Hg1 Hg 0.0000 0.0000 0.0000
B1 B 0.0000 0.5000 0.2500
Pd1 Pd 0.0000 0.0000 0.3543
```